Be2W2O | PBE+U | relaxed

Computed properties:
- ρ (g cm⁻³) = 11.52
- energy above the most stable polymorph in this dataset (meV per atom) = 335
- final energy (eV/cell) = -47.27
- crystal system = tetragonal

Lattice parameters (Å, degrees): 2.8374 2.8374 14.3882 90.00 90.00 90.00
With the nearest neighbours (Å) after each atom.
Space group I4/mmm (No. 139)
Symmetry-distinct sites (fractional):
Be 0.0000 0.5000 0.2500 [4 per cell]  4 Be 2.01
W 0.0000 0.0000 0.1057 [4 per cell]  4 Be 2.51, 4 O 2.52
O 0.0000 0.0000 0.5000 [2 per cell]  8 W 2.52